Tl3CoOs | Alexandria via LeMat-Bulk | PBE | relaxed; N(E_F) = 7.33 states/eV/cell; ρ = 9.75 g/cm3; energy of formation from the pure elements = 1.1526 eV per atom; ΔE to the lowest computed polymorph = 0.000 eV per atom; magnetic moment = 0.50 μB per atom; final energy = -0.2892 Ry per atom
1.0
5.2759 0.0000 0.0000
0.0000 5.2759 0.0000
0.0000 0.0000 5.2759
Tl Co Os
3 1 1
direct
0.0000 0.0000 0.5000
0.0000 0.5000 0.0000
0.5000 0.0000 0.0000
0.5000 0.5000 0.5000
0.0000 0.0000 0.0000